(1)
ZnCuMo4: relaxed, PBE.

## Properties
E in eV per cell: -45.07
Total moment in μB/cell: 0.00
SG: No. 216
ΔH_f (0 K) in kJ/mol of atoms: 58.3

Lattice parameters (Å, degrees): 5.2000 5.2000 5.2000 60.00 60.00 60.00
Closest atoms and distances in Å follow each position.
Sites, in units of the cell vectors:
1 Zn 0.7500 0.7500 0.7500  12 Mo 3.05, 4 Cu 3.18
2 Cu 0.0000 0.0000 0.0000  12 Mo 3.05, 4 Zn 3.18
3 Mo 0.8760 0.3747 0.3747  6 Mo 2.59-2.61
4 Mo 0.3747 0.3747 0.8760  6 Mo 2.59-2.61
5 Mo 0.3747 0.8760 0.3747  6 Mo 2.59-2.61
6 Mo 0.3747 0.3747 0.3747  6 Mo 2.59-2.61


(2)
Zn2CuMo: relaxed, PBE.

## Properties
E in eV per cell: -17.17
Energy above the most stable polymorph in this dataset in eV/atom: 0.063
Total moment in μB/cell: 0.00
SG: No. 123
ΔH_f (0 K) in kJ/mol of atoms: 7.5

Lattice parameters (Å, degrees): 3.8596 3.8587 3.7728 90.00 90.00 90.00
Closest atoms and distances in Å follow each position.
Sites, in units of the cell vectors:
1 Cu 0.5000 0.0000 0.5000  8 Zn 2.70, 4 Mo 2.73
2 Mo 0.0000 0.5000 0.5000  8 Zn 2.70, 4 Cu 2.73
3 Zn 0.0000 0.0000 0.0000  4 Mo 2.70, 4 Cu 2.70, 4 Zn 2.73
4 Zn 0.5000 0.5000 0.0000  4 Cu 2.70, 4 Mo 2.70, 4 Zn 2.73


(3)
ZnCuMo2: relaxed, PBE.

## Properties
E in eV per cell: -26.18
Total moment in μB/cell: 0.00
SG: No. 160
ΔH_f (0 K) in kJ/mol of atoms: 20.6

Lattice parameters (Å, degrees): 9.2899 9.2899 9.2899 16.95 16.95 16.95
Closest atoms and distances in Å follow each position.
Sites, in units of the cell vectors:
1 Cu 0.7526 0.7526 0.7526  3 Zn 2.62, 6 Cu 2.74, 3 Mo 2.76
2 Mo 0.0036 0.0036 0.0036  9 Mo 2.74-2.90, 3 Cu 2.76
3 Mo 0.2482 0.2482 0.2482  9 Mo 2.74-2.90, 3 Zn 2.84
4 Zn 0.4956 0.4956 0.4956  3 Cu 2.62, 6 Zn 2.74, 3 Mo 2.84


(4)
ZnCuMo2: relaxed, PBE.

## Properties
E in eV per cell: -26.24
Total moment in μB/cell: 0.00
SG: No. 8
ΔH_f (0 K) in kJ/mol of atoms: 19.2

Lattice parameters (Å, degrees): 4.7456 4.7456 4.9696 84.38 84.38 31.75
Closest atoms and distances in Å follow each position.
Sites, in units of the cell vectors:
1 Cu 0.2493 0.2493 0.2634  2 Cu 2.60, 3 Zn 2.67-2.72, 7 Mo 2.78-2.82
2 Mo 0.9938 0.9938 0.9930  5 Mo 2.59-2.84, 4 Zn 2.78-2.83, 3 Cu 2.80-2.81
3 Mo 0.7531 0.7531 0.7579  5 Mo 2.59-2.84, 3 Zn 2.76-2.85, 4 Cu 2.78-2.82
4 Zn 0.5038 0.5038 0.4856  2 Zn 2.60, 3 Cu 2.67-2.72, 7 Mo 2.76-2.85


(5)
ZnCuMo2: relaxed, PBE.

## Properties
E in eV per cell: -26.50
Total moment in μB/cell: 0.00
SG: No. 99
ΔH_f (0 K) in kJ/mol of atoms: 13.0

Lattice parameters (Å, degrees): 2.6545 2.6545 8.2434 90.00 90.00 90.00
Closest atoms and distances in Å follow each position.
Sites, in units of the cell vectors:
1 Cu 0.5000 0.5000 0.7395  4 Zn 2.62, 4 Cu 2.65, 4 Mo 2.73
2 Mo 0.0000 0.0000 0.9799  4 Mo 2.65, 4 Cu 2.73
3 Mo 0.5000 0.5000 0.2628  4 Mo 2.65, 4 Zn 2.82
4 Zn 0.0000 0.0000 0.5178  4 Cu 2.62, 4 Zn 2.65, 4 Mo 2.82


(6)
ZnCuMo2: relaxed, PBE.

## Properties
E in eV per cell: -37.92
Total moment in μB/cell: 0.00
SG: No. 122
ΔH_f (0 K) in kJ/mol of atoms: 194.7

Lattice parameters (Å, degrees): 5.5409 5.5409 6.7303 65.69 65.69 90.00
Closest atoms and distances in Å follow each position.
Sites, in units of the cell vectors:
1 Mo 0.6069 0.1250 0.2500  2 Cu 2.33, 2 Zn 2.45
2 Mo 0.1431 0.6250 0.2500  2 Cu 2.33, 2 Zn 2.45
3 Mo 0.3750 0.3931 0.7500  2 Cu 2.33, 2 Zn 2.45
4 Mo 0.8750 0.8569 0.7500  2 Cu 2.33, 2 Zn 2.45
5 Zn 0.0000 0.0000 0.0000  4 Mo 2.45
6 Zn 0.7500 0.2500 0.5000  4 Mo 2.45
7 Cu 0.5000 0.5000 0.0000  4 Mo 2.33
8 Cu 0.2500 0.7500 0.5000  4 Mo 2.33


(7)
ZnCuMo2: relaxed, PBE.

## Properties
E in eV per cell: -26.28
Total moment in μB/cell: 0.00
SG: No. 99
ΔH_f (0 K) in kJ/mol of atoms: 18.1

Lattice parameters (Å, degrees): 3.2243 3.2243 5.7077 90.00 90.00 90.00
Closest atoms and distances in Å follow each position.
Sites, in units of the cell vectors:
1 Cu 0.5000 0.5000 0.7344  4 Zn 2.60, 6 Mo 2.77-2.87
2 Mo 0.0000 0.0000 0.0115  4 Mo 2.62, 4 Cu 2.77, 2 Zn 2.83-2.88
3 Mo 0.5000 0.5000 0.2378  4 Mo 2.62, 4 Zn 2.78, 2 Cu 2.83-2.87
4 Zn 0.0000 0.0000 0.5163  4 Cu 2.60, 6 Mo 2.78-2.88


(8)
Zn3CuMo: relaxed, PBE.

## Properties
E in eV per cell: -14.70
Energy above the most stable polymorph in this dataset in eV/atom: 0.000
Total moment in μB/cell: 2.13
SG: No. 221
ΔH_f (0 K) in kJ/mol of atoms: 78.1

Lattice parameters (Å, degrees): 4.4094 4.4094 4.4094 90.00 90.00 90.00
Closest atoms and distances in Å follow each position.
Sites, in units of the cell vectors:
1 Mo 0.5000 0.5000 0.5000  12 Zn 3.12
2 Zn 0.0000 0.5000 0.0000  2 Cu 2.20
3 Zn 0.0000 0.0000 0.5000  2 Cu 2.20
4 Zn 0.5000 0.0000 0.0000  2 Cu 2.20
5 Cu 0.0000 0.0000 0.0000  6 Zn 2.20


(9)
ZnCuMo2: relaxed, PBE.

## Properties
E in eV per cell: -25.69
Total moment in μB/cell: 0.00
SG: No. 216
ΔH_f (0 K) in kJ/mol of atoms: 32.4

Lattice parameters (Å, degrees): 4.3777 4.3777 4.3777 60.00 60.00 60.00
Closest atoms and distances in Å follow each position.
Sites, in units of the cell vectors:
1 Cu 0.5000 0.5000 0.5000  4 Mo 2.68, 4 Zn 2.68
2 Mo 0.0000 0.0000 0.0000  4 Mo 2.68, 4 Zn 2.68
3 Mo 0.2500 0.2500 0.2500  4 Cu 2.68, 4 Mo 2.68
4 Zn 0.7500 0.7500 0.7500  4 Mo 2.68, 4 Cu 2.68


(10)
ZnCu2Mo2: relaxed, PBE.

## Properties
E in eV per cell: -28.13
Energy above the most stable polymorph in this dataset in eV/atom: 0.072
Total moment in μB/cell: 0.00
SG: No. 139
ΔH_f (0 K) in kJ/mol of atoms: 57.9

Lattice parameters (Å, degrees): 3.4656 3.4656 6.8827 75.42 75.42 90.00
Closest atoms and distances in Å follow each position.
Sites, in units of the cell vectors:
1 Mo 0.4097 0.4097 0.1807  1 Mo 2.32
2 Mo 0.5903 0.5903 0.8193  1 Mo 2.32
3 Zn 0.0000 0.0000 0.0000  8 Mo 2.71
4 Cu 0.7500 0.2500 0.5000  4 Cu 2.45, 4 Mo 2.69
5 Cu 0.2500 0.7500 0.5000  4 Cu 2.45, 4 Mo 2.69


(11)
ZnCuMo2: relaxed, PBE.

## Properties
E in eV per cell: -26.41
Total moment in μB/cell: 0.00
SG: No. 12
ΔH_f (0 K) in kJ/mol of atoms: 15.1

Lattice parameters (Å, degrees): 5.8569 4.9541 2.6319 90.14 63.03 118.08
Closest atoms and distances in Å follow each position.
Sites, in units of the cell vectors:
1 Cu 0.5000 0.5000 0.0000  2 Zn 2.61, 2 Cu 2.63, 8 Mo 2.80-2.81
2 Mo 0.0000 0.0000 0.0000  4 Mo 2.61-2.63, 4 Zn 2.80-2.81, 4 Cu 2.80-2.81
3 Mo 0.5000 0.0000 0.5000  4 Mo 2.61-2.63, 4 Cu 2.80-2.81, 4 Zn 2.80-2.81
4 Zn 0.0000 0.5000 0.5000  2 Cu 2.61, 2 Zn 2.63, 8 Mo 2.80-2.81


(12)
Zn2CuMo: relaxed, PBE.

## Properties
E in eV per cell: -16.86
Energy above the most stable polymorph in this dataset in eV/atom: 0.138
Total moment in μB/cell: 0.00
SG: No. 160
ΔH_f (0 K) in kJ/mol of atoms: 14.7

Lattice parameters (Å, degrees): 9.1728 9.1728 9.1728 17.04 17.04 17.04
Closest atoms and distances in Å follow each position.
Sites, in units of the cell vectors:
1 Cu 0.5012 0.5012 0.5012  3 Zn 2.64, 6 Cu 2.72, 3 Mo 2.73
2 Mo 0.7523 0.7523 0.7523  6 Mo 2.72, 3 Cu 2.73, 3 Zn 2.79
3 Zn 0.0004 0.0004 0.0004  9 Zn 2.72-2.85, 3 Mo 2.79
4 Zn 0.2461 0.2461 0.2461  3 Cu 2.64, 9 Zn 2.72-2.85


(13)
ZnCuMo3: relaxed, PBE.

## Properties
E in eV per cell: -28.69
Energy above the most stable polymorph in this dataset in eV/atom: 0.262
Total moment in μB/cell: 0.00
SG: No. 221
ΔH_f (0 K) in kJ/mol of atoms: 177.0

Lattice parameters (Å, degrees): 4.5354 4.5354 4.5354 90.00 90.00 90.00
Closest atoms and distances in Å follow each position.
Sites, in units of the cell vectors:
1 Mo 0.0000 0.5000 0.0000  2 Zn 2.27
2 Mo 0.0000 0.0000 0.5000  2 Zn 2.27
3 Mo 0.5000 0.0000 0.0000  2 Zn 2.27
4 Zn 0.0000 0.0000 0.0000  6 Mo 2.27
5 Cu 0.5000 0.5000 0.5000  12 Mo 3.21


(14)
ZnCuMo2: relaxed, PBE.

## Properties
E in eV per cell: -26.20
Total moment in μB/cell: 0.00
SG: No. 119
ΔH_f (0 K) in kJ/mol of atoms: 20.1

Lattice parameters (Å, degrees): 4.7978 4.7978 4.7978 133.01 133.01 68.64
Closest atoms and distances in Å follow each position.
Sites, in units of the cell vectors:
1 Cu 0.7500 0.2500 0.5000  8 Mo 2.71-2.75, 4 Zn 2.75
2 Mo 0.0000 0.0000 0.0000  4 Zn 2.71, 4 Cu 2.75, 4 Mo 2.75
3 Mo 0.2500 0.7500 0.5000  4 Cu 2.71, 4 Mo 2.75, 4 Zn 2.75
4 Zn 0.5000 0.5000 0.0000  8 Mo 2.71-2.75, 4 Cu 2.75


(15)
ZnCuMo3: relaxed, PBE.

## Properties
E in eV per cell: -30.00
Energy above the most stable polymorph in this dataset in eV/atom: 0.000
Total moment in μB/cell: 0.00
SG: No. 221
ΔH_f (0 K) in kJ/mol of atoms: 151.7

Lattice parameters (Å, degrees): 4.5089 4.5089 4.5089 90.00 90.00 90.00
Closest atoms and distances in Å follow each position.
Sites, in units of the cell vectors:
1 Mo 0.0000 0.5000 0.0000  2 Cu 2.25
2 Mo 0.0000 0.0000 0.5000  2 Cu 2.25
3 Mo 0.5000 0.0000 0.0000  2 Cu 2.25
4 Zn 0.5000 0.5000 0.5000  12 Mo 3.19
5 Cu 0.0000 0.0000 0.0000  6 Mo 2.25


(16)
Zn2CuMo: relaxed, PBE.

## Properties
E in eV per cell: -17.02
Energy above the most stable polymorph in this dataset in eV/atom: 0.099
Total moment in μB/cell: 0.00
SG: No. 166
ΔH_f (0 K) in kJ/mol of atoms: 11.0

Lattice parameters (Å, degrees): 8.9466 8.9466 8.9466 17.61 17.61 17.61
Closest atoms and distances in Å follow each position.
Sites, in units of the cell vectors:
1 Cu 0.2500 0.2500 0.2500  6 Zn 2.62, 6 Cu 2.74
2 Mo 0.7500 0.7500 0.7500  6 Mo 2.74, 6 Zn 2.80
3 Zn 0.9957 0.9957 0.9957  3 Cu 2.62, 6 Zn 2.74, 3 Mo 2.80
4 Zn 0.5043 0.5043 0.5043  3 Cu 2.62, 6 Zn 2.74, 3 Mo 2.80


(17)
Zn2CuMo: relaxed, PBE.

## Properties
E in eV per cell: -30.83
Energy above the most stable polymorph in this dataset in eV/atom: 0.501
Total moment in μB/cell: 0.00
SG: No. 122
ΔH_f (0 K) in kJ/mol of atoms: 49.7

Lattice parameters (Å, degrees): 6.8151 6.8151 5.4850 51.59 51.59 90.00
Closest atoms and distances in Å follow each position.
Sites, in units of the cell vectors:
1 Mo 0.0000 0.0000 0.0000  4 Zn 2.61, 2 Cu 2.62
2 Mo 0.7500 0.2500 0.5000  4 Zn 2.61, 2 Cu 2.62
3 Zn 0.6008 0.1250 0.2500  2 Cu 2.39, 2 Mo 2.61, 2 Zn 2.64
4 Zn 0.1492 0.6250 0.2500  2 Cu 2.39, 2 Mo 2.61, 2 Zn 2.64
5 Zn 0.3750 0.3992 0.7500  2 Cu 2.39, 2 Mo 2.61, 2 Zn 2.64
6 Zn 0.8750 0.8508 0.7500  2 Cu 2.39, 2 Mo 2.61, 2 Zn 2.64
7 Cu 0.5000 0.5000 0.0000  4 Zn 2.39, 2 Mo 2.62
8 Cu 0.2500 0.7500 0.5000  4 Zn 2.39, 2 Mo 2.62


(18)
Zn2CuMo: relaxed, PBE.

## Properties
E in eV per cell: -16.96
Energy above the most stable polymorph in this dataset in eV/atom: 0.115
Total moment in μB/cell: 0.00
SG: No. 10
ΔH_f (0 K) in kJ/mol of atoms: 12.5

Lattice parameters (Å, degrees): 4.2602 2.5820 5.2265 81.05 90.00 90.00
Closest atoms and distances in Å follow each position.
Sites, in units of the cell vectors:
1 Cu 0.5000 0.2500 0.2500  4 Zn 2.55, 2 Cu 2.58, 2 Mo 2.73
2 Mo 0.5000 0.7500 0.7500  2 Mo 2.58, 2 Cu 2.73, 4 Zn 2.73
3 Zn 0.0000 0.1001 0.0023  2 Cu 2.55, 4 Zn 2.58-2.81, 2 Mo 2.73
4 Zn 0.0000 0.3999 0.4977  2 Cu 2.55, 4 Zn 2.58-2.81, 2 Mo 2.73


(19)
Zn2CuMo: relaxed, PBE.

## Properties
E in eV per cell: -17.42
Energy above the most stable polymorph in this dataset in eV/atom: 0.000
Total moment in μB/cell: 0.00
SG: No. 123
ΔH_f (0 K) in kJ/mol of atoms: 1.4

Lattice parameters (Å, degrees): 2.6678 2.6678 7.8813 90.00 90.00 90.00
Closest atoms and distances in Å follow each position.
Sites, in units of the cell vectors:
1 Mo 0.5000 0.5000 0.5000  4 Mo 2.67, 8 Zn 2.81
2 Zn 0.0000 0.0000 0.7647  4 Cu 2.65, 4 Zn 2.67, 4 Mo 2.81
3 Zn 0.0000 0.0000 0.2353  4 Cu 2.65, 4 Zn 2.67, 4 Mo 2.81
4 Cu 0.5000 0.5000 0.0000  8 Zn 2.65, 4 Cu 2.67


(20)
ZnCu2Mo2: relaxed, PBE.

## Properties
E in eV per cell: -56.98
Energy above the most stable polymorph in this dataset in eV/atom: 0.000
Total moment in μB/cell: 0.00
SG: No. 127
ΔH_f (0 K) in kJ/mol of atoms: 50.9

Lattice parameters (Å, degrees): 7.6180 7.6180 2.6620 90.00 90.00 90.00
Closest atoms and distances in Å follow each position.
Sites, in units of the cell vectors:
1 Mo 0.3828 0.8828 0.0000  3 Mo 2.52-2.66, 6 Cu 2.59-2.65
2 Mo 0.8828 0.6172 0.0000  3 Mo 2.52-2.66, 6 Cu 2.59-2.65
3 Mo 0.6172 0.1172 0.0000  3 Mo 2.52-2.66, 6 Cu 2.59-2.65
4 Mo 0.1172 0.3828 0.0000  3 Mo 2.52-2.66, 6 Cu 2.59-2.65
5 Zn 0.0000 0.0000 0.0000  2 Zn 2.66
6 Zn 0.5000 0.5000 0.0000  2 Zn 2.66
7 Cu 0.1770 0.6770 0.5000  6 Mo 2.59-2.65, 2 Cu 2.66
8 Cu 0.6770 0.8230 0.5000  6 Mo 2.59-2.65, 2 Cu 2.66
9 Cu 0.8230 0.3230 0.5000  6 Mo 2.59-2.65, 2 Cu 2.66
10 Cu 0.3230 0.1770 0.5000  6 Mo 2.59-2.65, 2 Cu 2.66